No. 1
A relaxed structure of CoRe2BiRh. Source: the Alexandria database, functional PBE.

Lattice parameters (Å, degrees): 4.7349 4.6108 4.7349 90.00 90.00 90.00
Closest atoms and distances in Å follow each position.
Element x y z (fractional)
Re (0.0000, 0.0000, 0.5000)  2 Rh 2.37
Re (0.5000, 0.0000, 0.0000)  2 Rh 2.37
Rh (0.0000, 0.0000, 0.0000)  2 Co 2.31, 4 Re 2.37
Bi (0.5000, 0.5000, 0.5000)  8 Re 3.30, 4 Co 3.35
Co (0.0000, 0.5000, 0.0000)  2 Rh 2.31

Computed properties:
SG = P4/mmm, No. 123
DFT formation energy = 1725 meV per atom
Fermi-level density of states = 6.75 states/eV/f.u.
electronic total energy = -6.922 eV per atom

***

No. 2
A relaxed structure of CoReBi2Se. Source: the Alexandria database, functional PBE.

Lattice parameters (Å, degrees): 5.5986 4.2129 5.5986 90.00 90.00 90.00
Closest atoms and distances in Å follow each position.
Element x y z (fractional)
Re (0.5000, 0.5000, 0.5000)  8 Bi 3.50
Co (0.0000, 0.5000, 0.0000)  2 Se 2.11
Bi (0.0000, 0.0000, 0.5000)  2 Se 2.80
Bi (0.5000, 0.0000, 0.0000)  2 Se 2.80
Se (0.0000, 0.0000, 0.0000)  2 Co 2.11

Computed properties:
SG = P4/mmm, No. 123
uncorrected formation energy = 1.44 eV per atom
Fermi-level density of states = 7.07 states/eV/f.u.
electronic total energy = -4.722 eV per atom

***

No. 3
A relaxed structure of ZrCo2ReBi. Source: the Alexandria database, functional PBE.

Lattice parameters (Å, degrees): 4.5425 5.0866 4.5425 90.00 90.00 90.00
Closest atoms and distances in Å follow each position.
Element x y z (fractional)
Re (0.0000, 0.0000, 0.0000)  4 Co 2.27, 2 Zr 2.54
Co (0.0000, 0.0000, 0.5000)  2 Re 2.27
Co (0.5000, 0.0000, 0.0000)  2 Re 2.27
Bi (0.5000, 0.5000, 0.5000)  4 Zr 3.21, 8 Co 3.41
Zr (0.0000, 0.5000, 0.0000)  2 Re 2.54

Computed properties:
SG = P4/mmm, No. 123
DFT formation energy = 930 meV per atom
Fermi-level density of states = 7.98 states/eV/f.u.
electronic total energy = -6.887 eV per atom

***

No. 4
A relaxed structure of CoBi2Rh2. Source: the Alexandria database, functional PBE.

Lattice parameters (Å, degrees): 6.8968 6.8968 4.0950 90.00 90.00 90.00
Closest atoms and distances in Å follow each position.
Element x y z (fractional)
Co (0.0000, 0.0000, 0.0000)  4 Rh 2.65
Co (0.5000, 0.5000, 0.0000)  4 Rh 2.65
Rh (0.3564, 0.8564, 0.0000)  2 Co 2.65, 2 Bi 2.75, 1 Rh 2.80
Rh (0.8564, 0.6436, 0.0000)  2 Co 2.65, 2 Bi 2.75, 1 Rh 2.80
Rh (0.6436, 0.1436, 0.0000)  2 Co 2.65, 2 Bi 2.75, 1 Rh 2.80
Rh (0.1436, 0.3564, 0.0000)  2 Co 2.65, 2 Bi 2.75, 1 Rh 2.80
Bi (0.1677, 0.6677, 0.5000)  6 Rh 2.75-2.97
Bi (0.6677, 0.8323, 0.5000)  6 Rh 2.75-2.97
Bi (0.8323, 0.3323, 0.5000)  6 Rh 2.75-2.97
Bi (0.3323, 0.1677, 0.5000)  6 Rh 2.75-2.97

Computed properties:
SG = P4/mbm, No. 127
DFT formation energy = 260 meV per atom
Fermi-level density of states = 5.39 states/eV/f.u.
electronic total energy = -5.654 eV per atom

***

No. 5
A relaxed structure of CoBiRh3. Source: the Alexandria database, functional PBE.

Lattice parameters (Å, degrees): 4.5319 4.5319 4.5319 90.00 90.00 90.00
Closest atoms and distances in Å follow each position.
Element x y z (fractional)
Co (0.0000, 0.0000, 0.0000)  6 Rh 2.27
Rh (0.0000, 0.5000, 0.0000)  2 Co 2.27
Rh (0.0000, 0.0000, 0.5000)  2 Co 2.27
Rh (0.5000, 0.0000, 0.0000)  2 Co 2.27
Bi (0.5000, 0.5000, 0.5000)  12 Rh 3.20

Computed properties:
SG = Pm-3m, No. 221
DFT formation energy = 717 meV per atom
Fermi-level density of states = 7.09 states/eV/f.u.
electronic total energy = -5.891 eV per atom

***

No. 6
A relaxed structure of Co2TcBiRh. Source: the Alexandria database, functional PBE.

Lattice parameters (Å, degrees): 4.6019 4.6874 4.6019 90.00 90.00 90.00
Closest atoms and distances in Å follow each position.
Element x y z (fractional)
Co (0.0000, 0.0000, 0.5000)  2 Rh 2.30
Co (0.5000, 0.0000, 0.0000)  2 Rh 2.30
Rh (0.0000, 0.0000, 0.0000)  4 Co 2.30, 2 Tc 2.34
Bi (0.5000, 0.5000, 0.5000)  4 Tc 3.25, 8 Co 3.28
Tc (0.0000, 0.5000, 0.0000)  2 Rh 2.34

Computed properties:
SG = P4/mmm, No. 123
DFT formation energy = 1217 meV per atom
Fermi-level density of states = 6.75 states/eV/f.u.
electronic total energy = -5.945 eV per atom